Entry 1:
Density functional theory data (PBE) for an optimized crystal structure of SrAlCdB2.

Cell: 4.427 5.099 4.427 Å, 90.00 90.00 90.00°
Sites, in units of the cell vectors:
Sr (0.500, 0.500, 0.500)
B (0.000, 0.000, 0.500)
B (0.500, 0.000, 0.000)
Al (0.000, 0.000, 0.000)
Cd (0.000, 0.500, 0.000)

Output
- symmetry = P4/mmm, No. 123
- DOS(E_F) (states/eV/cell) = 1.8
- magnetic moment (μB per formula unit) = 0.00

Entry 2:
Density functional theory data (PBE) for an optimized crystal structure of AlZnCd2B.

Cell: 4.885 3.990 4.885 Å, 90.00 90.00 90.00°
Sites, in units of the cell vectors:
Zn (0.500, 0.500, 0.500)
B (0.000, 0.000, 0.000)
Al (0.000, 0.500, 0.000)
Cd (0.000, 0.000, 0.500)
Cd (0.500, 0.000, 0.000)

Output
- symmetry = P4/mmm, No. 123
- DOS(E_F) (states/eV/cell) = 1.5
- magnetic moment (μB per formula unit) = 0.00

Entry 3:
Density functional theory data (PBE) for an optimized crystal structure of CeAlB.

Cell: 3.243 4.535 8.526 Å, 86.10 79.04 69.05°
Each line ends with the local moment (μB).
Sites, in units of the cell vectors:
B (0.750, 0.500, 0.500)  0.00
B (0.250, 0.500, 0.500)  0.00
Al (0.858, 0.284, 0.000)  0.00
Al (0.142, 0.716, 0.000)  0.00
Ce (0.645, 0.000, 0.710)  0.51
Ce (0.355, 0.000, 0.290)  0.51

Output
- symmetry = Fmmm, No. 69
- DOS(E_F) (states/eV/cell) = 10.6
- offset from the most stable computed form (eV/f.u.) = 0.00
- magnetic moment (μB per formula unit) = 0.60

Number 1: formation energy 0.876 eV per atom, total DFT energy (no corrections) -3.063 eV per atom. Number 2: formation energy 0.446 eV per atom, total DFT energy (no corrections) -2.259 eV per atom. Number 3: formation energy -0.084 eV per atom, total DFT energy (no corrections) -5.535 eV per atom.